Here is a relaxed structure of Cs2ZnSnF6 from the Alexandria database. Energies are from PBE.

Output
uncorrected energy: -4.319 eV per atom
total magnetic moment: 0.000 μB per atom
energy relative to the elements, uncorrected: -2.4979 eV per atom
theoretical density: 5.04 g/cm3

a b c (Å): 9.0577 9.0577 9.0577
angles (deg): 90.00 90.00 90.00
Closest atoms and distances in Å follow each position.
Space group Fm-3m (No. 225)
Asymmetric unit:
1 Cs 0.2500 0.2500 0.2500  12 F 3.21
2 Zn 0.0000 0.0000 0.0000  6 F 2.11
3 Sn 0.0000 0.0000 0.5000  6 F 2.42
4 F 0.0000 0.0000 0.2326  1 Zn 2.11